A.
A relaxed VCr3Cd crystal. Source: Alexandria via LeMat-Bulk, functional GGA-PBE.

Unit cell a=4.3181 b=4.3181 c=4.3181 alpha=90.00 beta=90.00 gamma=90.00
Closest atoms and distances in Å follow each position.
Positions (direct):
V1 0.0000 0.0000 0.0000  6 Cr 2.16
Cr1 0.0000 0.0000 0.5000  2 V 2.16
Cr2 0.0000 0.5000 0.0000  2 V 2.16
Cr3 0.5000 0.0000 0.0000  2 V 2.16
Cd1 0.5000 0.5000 0.5000  12 Cr 3.05


B.
A relaxed VCr3Cd crystal. Source: Alexandria via LeMat-Bulk, functional GGA-PBE.

Unit cell a=5.0576 b=5.0576 c=5.0576 alpha=90.00 beta=90.00 gamma=90.00
Closest atoms and distances in Å follow each position.
Positions (direct):
V1 0.0000 0.0000 0.0000  12 Cr 3.58
Cr1 0.0000 0.5000 0.5000  2 Cd 2.53
Cr2 0.5000 0.0000 0.5000  2 Cd 2.53
Cr3 0.5000 0.5000 0.0000  2 Cd 2.53
Cd1 0.5000 0.5000 0.5000  6 Cr 2.53


Least stable: B


A.
A relaxed ZnCr2Cd crystal. Source: Alexandria via LeMat-Bulk, functional GGA-PBE.

Unit cell a=4.5583 b=4.5583 c=5.1351 alpha=94.27 beta=94.27 gamma=33.25
Closest atoms and distances in Å follow each position.
Positions (direct):
Zn1 0.0000 0.0000 0.0000  2 Zn 2.61, 3 Cd 2.62-2.78, 5 Cr 2.63-2.74
Cr1 0.5010 0.5010 0.4440  3 Cr 2.36-2.61, 2 Zn 2.63
Cr2 0.7410 0.7410 0.2604  3 Cr 2.36-2.61
Cd1 0.2490 0.2490 0.7476  2 Cd 2.61, 3 Zn 2.62-2.78, 5 Cr 2.79-2.88


B.
A relaxed ZnCr2Cd crystal. Source: Alexandria via LeMat-Bulk, functional GGA-PBE.

Unit cell a=4.9691 b=4.9691 c=4.4514 alpha=107.52 beta=107.52 gamma=35.56
Closest atoms and distances in Å follow each position.
Positions (direct):
Zn1 0.0000 0.0000 0.0000  6 Cr 2.64-2.78, 4 Cd 2.69
Cr1 0.2587 0.2587 0.8302  2 Cr 2.18
Cr2 0.7413 0.7413 0.1698  2 Cr 2.18
Cd1 0.5000 0.5000 0.5000  4 Zn 2.69, 4 Cr 2.86


C.
A relaxed ZnCr2Cd crystal. Source: Alexandria via LeMat-Bulk, functional GGA-PBE.

Unit cell a=2.5996 b=2.5996 c=8.4706 alpha=90.00 beta=90.00 gamma=90.00
Closest atoms and distances in Å follow each position.
Positions (direct):
Zn1 0.0000 0.0000 0.0000  4 Zn 2.60, 8 Cr 2.69
Cr1 0.5000 0.5000 0.2321  4 Cr 2.60, 4 Zn 2.69
Cr2 0.5000 0.5000 0.7679  4 Cr 2.60, 4 Zn 2.69
Cd1 0.0000 0.0000 0.5000  4 Cd 2.60


D.
A relaxed ZnCr2Cd crystal. Source: Alexandria via LeMat-Bulk, functional GGA-PBE.

Unit cell a=9.9399 b=9.9399 c=9.9399 alpha=158.92 beta=158.92 gamma=29.99
Closest atoms and distances in Å follow each position.
Positions (direct):
Zn1 0.0000 0.0000 0.0000  4 Cd 2.57, 4 Cr 2.66
Zn2 0.7500 0.2500 0.5000  4 Cd 2.57, 4 Cr 2.66
Cr1 0.0618 0.6250 0.9368  2 Cr 2.27
Cr2 0.3750 0.3118 0.4368  2 Cr 2.27
Cr3 0.6882 0.1250 0.0632  2 Cr 2.27
Cr4 0.8750 0.9382 0.5632  2 Cr 2.27
Cd1 0.2500 0.7500 0.5000  4 Zn 2.57, 4 Cr 2.81
Cd2 0.5000 0.5000 0.0000  4 Zn 2.57, 4 Cr 2.81


Least stable: D


A.
A relaxed ZnCr2Cd crystal. Source: Alexandria via LeMat-Bulk, functional GGA-PBE.

Unit cell a=5.0083 b=5.0083 c=5.0083 alpha=137.32 beta=137.32 gamma=61.94
Closest atoms and distances in Å follow each position.
Positions (direct):
Zn1 0.0000 0.0000 0.0000  4 Cd 2.58, 8 Cr 2.82
Cr1 0.2500 0.7500 0.5000  4 Cr 2.58, 4 Cd 2.82, 4 Zn 2.82
Cr2 0.7500 0.2500 0.5000  4 Cr 2.58, 4 Cd 2.82, 4 Zn 2.82
Cd1 0.5000 0.5000 0.0000  4 Zn 2.58, 8 Cr 2.82


B.
A relaxed ZnCr2Cd crystal. Source: Alexandria via LeMat-Bulk, functional GGA-PBE.

Unit cell a=2.7271 b=4.1533 c=5.2777 alpha=90.00 beta=90.00 gamma=90.00
Closest atoms and distances in Å follow each position.
Positions (direct):
Zn1 0.0000 0.0000 0.0000  2 Cd 2.64, 8 Cr 2.68, 2 Zn 2.73
Cr1 0.5000 0.5000 0.1912  1 Cr 2.02
Cr2 0.5000 0.5000 0.8088  1 Cr 2.02
Cd1 0.0000 0.0000 0.5000  2 Zn 2.64, 2 Cd 2.73


Least stable: A


A.
A relaxed ZnCr2Cd crystal. Source: Alexandria via LeMat-Bulk, functional GGA-PBE.

Unit cell a=2.7128 b=2.7128 c=8.8954 alpha=90.00 beta=90.00 gamma=113.98
Closest atoms and distances in Å follow each position.
Positions (direct):
Zn1 0.0000 0.0000 0.0000  2 Cr 2.61, 4 Zn 2.71
Cr1 0.0000 0.0000 0.4300  2 Cr 2.23
Cr2 0.5000 0.5000 0.2422  2 Cr 2.23
Cd1 0.5000 0.5000 0.7076  6 Cd 2.71-2.96, 2 Cr 2.88, 2 Zn 2.99


B.
A relaxed ZnCr2Cd crystal. Source: Alexandria via LeMat-Bulk, functional GGA-PBE.

Unit cell a=9.3298 b=9.3298 c=9.3298 alpha=16.70 beta=16.70 gamma=16.70
Closest atoms and distances in Å follow each position.
Positions (direct):
Zn1 0.0000 0.0000 0.0000  6 Cr 2.67, 6 Zn 2.71
Cr1 0.2549 0.2549 0.2549  3 Zn 2.67, 6 Cr 2.71, 3 Cd 2.89
Cr2 0.7451 0.7451 0.7451  3 Zn 2.67, 6 Cr 2.71, 3 Cd 2.89
Cd1 0.5000 0.5000 0.5000  6 Cd 2.71, 6 Cr 2.89


Least stable: B


A.
A relaxed ZnCr2Cd crystal. Source: Alexandria via LeMat-Bulk, functional GGA-PBE.

Unit cell a=2.5959 b=2.5959 c=8.5868 alpha=90.00 beta=90.00 gamma=98.11
Closest atoms and distances in Å follow each position.
Positions (direct):
Zn1 0.0000 0.0000 0.0000  4 Zn 2.60, 8 Cr 2.62-2.80
Cr1 0.5000 0.5000 0.2327  4 Cr 2.60, 4 Zn 2.62-2.80, 2 Cd 2.86
Cr2 0.5000 0.5000 0.7673  4 Cr 2.60, 4 Zn 2.62-2.80, 2 Cd 2.86
Cd1 0.0000 0.0000 0.5000  4 Cd 2.60, 4 Cr 2.86


B.
A relaxed ZnCr2Cd crystal. Source: Alexandria via LeMat-Bulk, functional GGA-PBE.

Unit cell a=3.7883 b=3.8987 c=4.3528 alpha=90.00 beta=90.00 gamma=90.00
Closest atoms and distances in Å follow each position.
Positions (direct):
Zn1 0.0000 0.0000 0.0000  4 Cd 2.72, 8 Cr 2.89-2.92
Cr1 0.0000 0.5000 0.5000  4 Cr 2.72, 4 Cd 2.89, 4 Zn 2.92
Cr2 0.5000 0.0000 0.5000  4 Cr 2.72, 4 Zn 2.89, 4 Cd 2.92
Cd1 0.5000 0.5000 0.0000  4 Zn 2.72, 8 Cr 2.89-2.92


Least stable: A


A.
A relaxed Cs6Cd crystal. Source: Alexandria via LeMat-Bulk, functional GGA-PBE.

Unit cell a=12.2037 b=12.2037 c=12.2037 alpha=109.47 beta=109.47 gamma=109.47
Closest atoms and distances in Å follow each position.
Positions (direct):
Cs1 0.2500 0.5000 0.7500  4 Cs 4.98
Cs2 0.2500 0.7500 0.5000  4 Cs 4.98
Cs3 0.5000 0.2500 0.7500  4 Cs 4.98
Cs4 0.5000 0.7500 0.2500  4 Cs 4.98
Cs5 0.7500 0.2500 0.5000  4 Cs 4.98
Cs6 0.7500 0.5000 0.2500  4 Cs 4.98
Cd1 0.0000 0.0000 0.0000  none within 6


B.
A relaxed Cs6Cd crystal. Source: Alexandria via LeMat-Bulk, functional GGA-PBE.

Unit cell a=9.4572 b=9.4572 c=8.9691 alpha=90.00 beta=90.00 gamma=120.00
Closest atoms and distances in Å follow each position.
Positions (direct):
Cs1 0.0000 0.3384 0.2525  1 Cd 3.92
Cs2 0.0000 0.6616 0.7475  1 Cd 3.92
Cs3 0.3384 0.0000 0.2525  1 Cd 3.92
Cs4 0.3384 0.3384 0.7475  1 Cd 3.92
Cs5 0.6616 0.0000 0.7475  1 Cd 3.92
Cs6 0.6616 0.6616 0.2525  1 Cd 3.92
Cd1 0.0000 0.0000 0.0000  6 Cs 3.92


Least stable: A